No. 1
Y3Zn: relaxed, GGA-PBEsol.

The space group is P4/mmm (No. 123) and the conventional cell measures 3.517, 3.517 and 8.531 Å, with angles of 90.00, 90.00 and 90.00 degrees. The distinct sites, in fractional coordinates, are Y at (0.000, 0.000, 0.000), Y at (0.500, 0.500, 0.296) and Zn at (0.000, 0.000, 0.500).

As for the crystal system: tetragonal. As for the density of states at the Fermi level: 4.2 states/eV/f.u. As for the total energy: -5.681 eV per atom.

=====

No. 2
Y7Zn3: relaxed, GGA-PBEsol.

The space group is Amm2 (No. 38) and the conventional cell measures 5.163, 3.572 and 27.323 Å, with angles of 90.00, 90.00 and 90.00 degrees. The distinct sites, in fractional coordinates, are Y at (0.000, 0.000, 0.000), Y at (0.000, 0.000, 0.175), Y at (0.000, 0.000, 0.386), Y at (0.000, 0.000, 0.788), Y at (0.500, 0.000, 0.082), Y at (0.500, 0.000, 0.263), Y at (0.500, 0.000, 0.463), Zn at (0.000, 0.000, 0.587), Zn at (0.500, 0.000, 0.673) and Zn at (0.500, 0.000, 0.860).

As for the crystal system: orthorhombic. As for the density of states at the Fermi level: 13.0 states/eV/f.u. As for the total energy: -5.387 eV per atom.

=====

No. 3
Y3Zn: relaxed, GGA-PBEsol.

The space group is Pnma (No. 62) and the conventional cell measures 6.752, 9.814 and 6.487 Å, with angles of 90.00, 90.00 and 90.00 degrees. The distinct sites, in fractional coordinates, are Y at (0.001, 0.250, 0.120), Y at (0.192, 0.048, 0.687) and Zn at (0.092, 0.750, 0.446).

As for the crystal system: orthorhombic. As for the density of states at the Fermi level: 4.3 states/eV/f.u. As for the total energy: -5.650 eV per atom.

=====

No. 4
YZn: relaxed, GGA-PBEsol.

The space group is P-6m2 (No. 187) and the conventional cell measures 3.5356, 3.5356 and 4.4100 Å, with angles of 90.00, 90.00 and 120.00 degrees. The distinct sites, in fractional coordinates, are Y at (0.0000, 0.0000, 0.0000) and Zn at (0.6667, 0.3333, 0.5000).

As for the crystal system: hexagonal. As for the density of states at the Fermi level: 2.7 states/eV/f.u. As for the total energy: -4.226 eV per atom.

=====

Number 1: E_form -0.169 eV/atom. Number 2: E_form -0.137 eV/atom. Number 3: E_form -0.138 eV/atom. Number 4: E_form -0.024 eV/atom.